--- P ---
Material: Tc2Br
Method: DFT, PBE
State: optimized geometry

Properties
DOS(E_F) ... 2.657 states/eV/cell
Space group ... Cmcm, No. 63
Calculated volume ... 20.24 Å³/atom
Magnetic moment ... 0.00 μB/cell

Unit cell a=9.659 b=9.659 c=4.171 alpha=90.00 beta=90.00 gamma=161.82
Sites, in units of the cell vectors:
Tc (0.037, 0.963, 0.750)
Tc (0.423, 0.577, 0.750)
Tc (0.577, 0.423, 0.250)
Tc (0.963, 0.037, 0.250)
Br (0.334, 0.666, 0.250)
Br (0.666, 0.334, 0.750)

--- Q ---
Material: Tc2Br
Method: DFT, PBE
State: optimized geometry

Properties
DOS(E_F) ... 10.708 states/eV/cell
Space group ... P6_3/mmc, No. 194
Calculated volume ... 18.51 Å³/atom
Magnetic moment ... 0.00 μB/cell

Unit cell a=5.779 b=5.779 c=7.681 alpha=90.00 beta=90.00 gamma=120.00
Sites, in units of the cell vectors:
Tc (0.000, 0.000, 0.000)
Tc (0.000, 0.000, 0.500)
Tc (0.168, 0.336, 0.250)
Tc (0.168, 0.832, 0.250)
Tc (0.336, 0.168, 0.750)
Tc (0.664, 0.832, 0.250)
Tc (0.832, 0.168, 0.750)
Tc (0.832, 0.664, 0.750)
Br (0.333, 0.667, 0.510)
Br (0.333, 0.667, 0.990)
Br (0.667, 0.333, 0.010)
Br (0.667, 0.333, 0.490)

--- R ---
Material: Tc2Br
Method: DFT, PBE
State: optimized geometry

Properties
DOS(E_F) ... 4.371 states/eV/cell
Space group ... C2/m, No. 12
Calculated volume ... 21.23 Å³/atom
Magnetic moment ... 0.00 μB/cell

Unit cell a=5.180 b=5.180 c=8.709 alpha=97.59 beta=97.59 gamma=33.39
Sites, in units of the cell vectors:
Tc (0.043, 0.043, 0.369)
Tc (0.324, 0.324, 0.415)
Tc (0.676, 0.676, 0.585)
Tc (0.957, 0.957, 0.631)
Br (0.345, 0.345, 0.826)
Br (0.655, 0.655, 0.174)

--- S ---
Material: Tc2Br
Method: DFT, PBE
State: optimized geometry

Properties
DOS(E_F) ... 2.524 states/eV/cell
Space group ... P-3m1, No. 164
Calculated volume ... 15.64 Å³/atom
Magnetic moment ... 0.00 μB/cell

Unit cell a=4.258 b=4.258 c=2.988 alpha=90.00 beta=90.00 gamma=120.00
Sites, in units of the cell vectors:
Tc (0.333, 0.667, 0.251)
Tc (0.667, 0.333, 0.749)
Br (0.000, 0.000, 0.000)

The structure with the most favorable energy is P; the runner-up is 16.6 kJ/mol of atoms above it.